LaPaB after structural relaxation. Source: OQMD, functional PBE.

Properties
The space-group type is No. 216. For the total magnetic moment, the calculation gives 0.0 Bohr magnetons per cell. The total energy comes out at -20.27 eV/cell.

Cell: 4.498 4.498 4.498 Å, 60.00 60.00 60.00°
Sites, in units of the cell vectors:
La 0.000 0.000 0.000
Pa 0.500 0.500 0.500
B 0.250 0.250 0.250


DyTlIn after structural relaxation. Source: OQMD, functional PBE.

Properties
The space-group type is No. 65. The energy above the most stable polymorph in this dataset is 0 meV/atom. For the total magnetic moment, the calculation gives 0.0 Bohr magnetons per cell.

Cell: 7.576 7.576 4.711 Å, 90.00 90.00 144.14°
Sites, in units of the cell vectors:
Dy 0.156 0.844 0.000
Dy 0.844 0.156 0.000
Tl 0.000 0.000 0.500
Tl 0.500 0.500 0.000
In 0.321 0.679 0.500
In 0.679 0.321 0.500


Please write out number 2 again, unchanged.
DyTlIn after structural relaxation. Source: OQMD, functional PBE.

Properties
The space-group type is No. 65. The energy above the most stable polymorph in this dataset is 0 meV/atom. For the total magnetic moment, the calculation gives 0.0 Bohr magnetons per cell.

Cell: 7.576 7.576 4.711 Å, 90.00 90.00 144.14°
Sites, in units of the cell vectors:
Dy 0.156 0.844 0.000
Dy 0.844 0.156 0.000
Tl 0.000 0.000 0.500
Tl 0.500 0.500 0.000
In 0.321 0.679 0.500
In 0.679 0.321 0.500